1.
First-principles (GGA-PBEsol) data for ZnReBAu2 after structural relaxation, as listed in Alexandria via LeMat-Bulk.

## Properties
DOS at the Fermi energy, states/eV/atom: 0.71
Formation energy, eV/atom: 2.200
Total magnetization, μB/f.u.: 1.46
Total DFT energy (no corrections), eV/cell: -18.8

a b c (Å): 4.5615 4.5615 4.6703
angles (deg): 90.00 90.00 90.00
Closest atoms and distances in Å follow each position.
Space group P4/mmm (No. 123)
One atom of each set of equivalent atoms:
Zn  0.0000  0.0000  0.0000  4 Au 2.28, 2 Re 2.34
Re  0.0000  0.0000  0.5000  2 Zn 2.34
B  0.5000  0.5000  0.5000  4 Re 3.23, 8 Au 3.26
Au  0.0000  0.5000  0.0000  2 Zn 2.28

---

2.
First-principles (GGA-PBEsol) data for Be2InW after structural relaxation, as listed in Alexandria via LeMat-Bulk.

## Properties
DOS at the Fermi energy, states/eV/atom: 0.30
Formation energy, eV/atom: 0.373
Total magnetization, μB/f.u.: 0.00
Total DFT energy (no corrections), eV/cell: -46.6

a b c (Å): 9.3067 2.8007 4.3099
angles (deg): 90.00 108.87 90.00
Closest atoms and distances in Å follow each position.
Space group Cm (No. 8)
One atom of each set of equivalent atoms:
Be  0.0000  0.0000  0.0000  2 Be 2.41, 4 W 2.55-2.65, 1 In 2.58
Be  0.2085  0.5000  0.3029  2 Be 2.41, 4 In 2.54-2.62, 3 W 2.59-2.64
In  0.2360  0.0000  0.8101  7 Be 2.54-2.71, 2 In 2.80
W  0.4555  0.0000  0.4544  7 Be 2.55-2.65, 2 W 2.80

---

3.
First-principles (GGA-PBEsol) data for YZrAs2 after structural relaxation, as listed in Alexandria via LeMat-Bulk.

## Properties
DOS at the Fermi energy, states/eV/atom: 0.33
Formation energy, eV/atom: -1.341
Total magnetization, μB/f.u.: 0.00
Total DFT energy (no corrections), eV/cell: -31.5

a b c (Å): 3.9365 3.9365 5.5436
angles (deg): 90.00 90.00 90.00
Closest atoms and distances in Å follow each position.
Space group P4/mmm (No. 123)
One atom of each set of equivalent atoms:
Y  0.0000  0.0000  0.0000  6 As 2.77-2.78
Zr  0.5000  0.5000  0.5000  6 As 2.77-2.78
As  0.0000  0.0000  0.5000  2 Y 2.77, 4 Zr 2.78
As  0.5000  0.5000  0.0000  2 Zr 2.77, 4 Y 2.78

---

4.
First-principles (GGA-PBEsol) data for Ca2Cu after structural relaxation, as listed in Alexandria via LeMat-Bulk.

## Properties
DOS at the Fermi energy, states/eV/atom: 0.68
Formation energy, eV/atom: -0.002
Total magnetization, μB/f.u.: 0.00
Total DFT energy (no corrections), eV/cell: -34.4

a b c (Å): 3.7536 13.0361 6.9426
angles (deg): 90.00 90.00 90.00
Closest atoms and distances in Å follow each position.
Space group Cmc2_1 (No. 36)
One atom of each set of equivalent atoms:
Ca  0.0000  0.0161  0.0000  4 Cu 2.96-3.00
Ca  0.0000  0.2798  0.8199  3 Cu 2.94-3.09
Cu  0.0000  0.3850  0.2185  7 Ca 2.94-3.09

---

5.
First-principles (GGA-PBEsol) data for In after structural relaxation, as listed in Alexandria via LeMat-Bulk.

## Properties
DOS at the Fermi energy, states/eV/atom: 0.52
Formation energy, eV/atom: 0.011
Total magnetization, μB/f.u.: 0.00
Total DFT energy (no corrections), eV/cell: -5.9

a b c (Å): 3.3255 3.3255 5.3056
angles (deg): 90.00 90.00 120.00
Closest atoms and distances in Å follow each position.
Space group P6_3/mmc (No. 194)
One atom of each set of equivalent atoms:
In  0.3333  0.6667  0.2500  12 In 3.27-3.33

---

6.
First-principles (GGA-PBEsol) data for AlCd3As after structural relaxation, as listed in Alexandria via LeMat-Bulk.

## Properties
DOS at the Fermi energy, states/eV/atom: 0.75
Formation energy, eV/atom: 0.677
Total magnetization, μB/f.u.: 0.00
Total DFT energy (no corrections), eV/cell: -9.4

a b c (Å): 5.0468 5.0468 5.0468
angles (deg): 90.00 90.00 90.00
Closest atoms and distances in Å follow each position.
Space group Pm-3m (No. 221)
One atom of each set of equivalent atoms:
Al  0.0000  0.0000  0.0000  6 Cd 2.52
Cd  0.0000  0.0000  0.5000  2 Al 2.52
As  0.5000  0.5000  0.5000  12 Cd 3.57

---

7.
First-principles (GGA-PBEsol) data for Cd3CBr after structural relaxation, as listed in Alexandria via LeMat-Bulk.

## Properties
DOS at the Fermi energy, states/eV/atom: 0.81
Total magnetization, μB/f.u.: 2.25
Total DFT energy (no corrections), eV/cell: -5.4

a b c (Å): 5.6705 5.6705 5.6705
angles (deg): 90.00 90.00 90.00
Closest atoms and distances in Å follow each position.
Space group Pm-3m (No. 221)
One atom of each set of equivalent atoms:
Cd  0.0000  0.0000  0.5000  2 Br 2.84
C  0.5000  0.5000  0.5000  12 Cd 4.01
Br  0.0000  0.0000  0.0000  6 Cd 2.84

---

8.
First-principles (GGA-PBEsol) data for HSeBr2F after structural relaxation, as listed in Alexandria via LeMat-Bulk.

## Properties
DOS at the Fermi energy, states/eV/atom: 0.75
Total magnetization, μB/f.u.: 0.85
Total DFT energy (no corrections), eV/cell: -11.0

a b c (Å): 4.8284 4.8284 3.5083
angles (deg): 90.00 90.00 90.00
Closest atoms and distances in Å follow each position.
Space group P4/mmm (No. 123)
One atom of each set of equivalent atoms:
H  0.0000  0.0000  0.0000  2 Se 1.75
Se  0.0000  0.0000  0.5000  2 H 1.75
Br  0.0000  0.5000  0.0000  2 H 2.41
F  0.5000  0.5000  0.5000  8 Br 2.98

---

9.
First-principles (GGA-PBEsol) data for Y2AgRh2 after structural relaxation, as listed in Alexandria via LeMat-Bulk.

## Properties
DOS at the Fermi energy, states/eV/atom: 0.51
Formation energy, eV/atom: -0.607
Total magnetization, μB/f.u.: 0.00
Total DFT energy (no corrections), eV/cell: -72.5

a b c (Å): 7.2556 7.2556 3.7315
angles (deg): 90.00 90.00 90.00
Closest atoms and distances in Å follow each position.
Space group P4/mbm (No. 127)
One atom of each set of equivalent atoms:
Y  0.1699  0.3301  0.0000  6 Rh 2.75-2.89
Ag  0.0000  0.0000  0.5000  4 Rh 2.83
Rh  0.1328  0.6328  0.5000  1 Rh 2.73, 6 Y 2.75-2.89, 2 Ag 2.83

---

10.
First-principles (GGA-PBEsol) data for ZrNbGa3 after structural relaxation, as listed in Alexandria via LeMat-Bulk.

## Properties
DOS at the Fermi energy, states/eV/atom: 0.89
Formation energy, eV/atom: 0.525
Total magnetization, μB/f.u.: 0.00
Total DFT energy (no corrections), eV/cell: -27.3

a b c (Å): 4.7810 4.7810 4.7810
angles (deg): 90.00 90.00 90.00
Closest atoms and distances in Å follow each position.
Space group Pm-3m (No. 221)
One atom of each set of equivalent atoms:
Zr  0.0000  0.0000  0.0000  12 Ga 3.38
Nb  0.5000  0.5000  0.5000  6 Ga 2.39
Ga  0.0000  0.5000  0.5000  2 Nb 2.39

---

11.
First-principles (GGA-PBEsol) data for IrCl2F after structural relaxation, as listed in Alexandria via LeMat-Bulk.

## Properties
DOS at the Fermi energy, states/eV/atom: 1.06
Total magnetization, μB/f.u.: 0.31
Total DFT energy (no corrections), eV/cell: -46.1

a b c (Å): 2.8519 2.8519 25.2000
angles (deg): 90.00 90.00 120.00
Closest atoms and distances in Å follow each position.
Space group R-3m (No. 166, hexagonal axes)
One atom of each set of equivalent atoms:
Ir  0.0000  0.0000  0.0000  2 Cl 2.20
Cl  0.0000  0.0000  0.0874  1 Ir 2.20
F  0.0000  0.0000  0.5000  6 Cl 2.59, 6 F 2.85

---

12.
First-principles (GGA-PBEsol) data for CoSN2 after structural relaxation, as listed in Alexandria via LeMat-Bulk.

## Properties
DOS at the Fermi energy, states/eV/atom: 0.61
Total magnetization, μB/f.u.: 0.00
Total DFT energy (no corrections), eV/cell: -81.8

a b c (Å): 2.8564 2.8564 16.2493
angles (deg): 90.00 90.00 120.00
Closest atoms and distances in Å follow each position.
Space group R-3m (No. 166, hexagonal axes)
One atom of each set of equivalent atoms:
Co  0.0000  0.0000  0.0000  6 N 1.91
S  0.0000  0.0000  0.5000  2 N 1.74
N  0.0000  0.0000  0.3929  1 S 1.74, 3 Co 1.91